Run 1
Material: Hf3AgAs
Method: DFT, PBE-GGA
State: optimized geometry

abc: 5.057 5.057 5.057
angles: 90.00 90.00 90.00
Positions (direct):
1 Ag 0.000 0.000 0.000
2 Hf 0.000 0.500 0.000
3 As 0.500 0.500 0.500
4 Hf 0.000 0.000 0.500
5 Hf 0.500 0.000 0.000



Run 2
Material: Hf3AgAs
Method: DFT, PBE-GGA
State: optimized geometry

abc: 4.927 4.927 4.927
angles: 90.00 90.00 90.00
Positions (direct):
1 Hf 0.000 0.000 0.500
2 Hf 0.500 0.000 0.000
3 Hf 0.000 0.500 0.000
4 As 0.000 0.000 0.000
5 Ag 0.500 0.500 0.500



Referenced to the most stable arrangement, the calculated values in meV/atom are run 1 681; run 2 0.



Run 1
Material: Hf2AgAs2
Method: DFT, PBE-GGA
State: optimized geometry

abc: 7.402 7.402 3.473
angles: 90.00 90.00 90.00
Positions (direct):
1 As 0.648 0.148 0.000
2 Hf 0.649 0.851 0.500
3 As 0.148 0.352 0.000
4 Ag 0.000 0.000 0.000
5 Hf 0.851 0.351 0.500
6 Ag 0.500 0.500 0.000
7 Hf 0.351 0.149 0.500
8 As 0.852 0.648 0.000
9 As 0.352 0.852 0.000
10 Hf 0.149 0.649 0.500



Run 2
Material: Hf2AgAs2
Method: DFT, PBE-GGA
State: optimized geometry

abc: 7.516 7.516 3.501
angles: 90.00 90.00 90.00
Positions (direct):
1 As 0.850 0.350 0.500
2 Ag 0.000 0.000 0.000
3 Hf 0.645 0.145 0.000
4 As 0.650 0.850 0.500
5 As 0.350 0.150 0.500
6 As 0.150 0.650 0.500
7 Hf 0.145 0.355 0.000
8 Hf 0.855 0.645 0.000
9 Ag 0.500 0.500 0.000
10 Hf 0.355 0.855 0.000



Referenced to the most stable arrangement, the calculated values in meV/atom are run 1 0; run 2 88.